First-principles (meta-GGA SCAN) data for InNiTe at its PBEsol-relaxed geometry, as listed in the Alexandria database.

Results
E_tot ... -29.026 eV/atom
Distance to the lowest polymorph of the same formula ... 0.0000 eV/atom

```
3
Lattice="3.747 0.000 0.000 -1.874 3.245 0.000 0.000 0.000 5.235" Properties=species:S:1:pos:R:3 pbc="T T T"
In 0.000 0.000 4.898
Ni 1.874 1.082 3.399
Te 0.000 2.163 2.173
```



First-principles (meta-GGA SCAN) data for CsBa2AsI at its PBEsol-relaxed geometry, as listed in the Alexandria database.

Results
E_tot ... -34.410 eV/atom

```
5
Lattice="6.125 0.000 0.000 0.000 6.627 0.000 0.000 0.000 6.627" Properties=species:S:1:pos:R:3 pbc="T T T"
Cs 0.000 0.000 0.000
I 3.062 0.000 0.000
As 3.062 3.314 3.314
Ba 0.000 0.000 3.314
Ba 0.000 3.314 0.000
```



First-principles (meta-GGA SCAN) data for GaSb2TeAs at its PBEsol-relaxed geometry, as listed in the Alexandria database.

Results
E_tot ... -29.016 eV/atom

```
5
Lattice="5.366 0.000 0.000 0.000 5.366 0.000 0.000 0.000 5.335" Properties=species:S:1:pos:R:3 pbc="T T T"
Sb 0.000 2.683 0.000
Sb 2.683 0.000 0.000
As 0.000 0.000 0.000
Te 0.000 0.000 2.667
Ga 2.683 2.683 2.667
```



First-principles (meta-GGA SCAN) data for SrLiRu3 at its PBEsol-relaxed geometry, as listed in the Alexandria database.

Results
E_tot ... -24.674 eV/atom
Energy relative to the elements ... 1.155 eV per atom

```
5
Lattice="4.337 0.000 0.000 0.000 4.337 0.000 0.000 0.000 4.337" Properties=species:S:1:pos:R:3 pbc="T T T"
Ru 0.000 2.168 0.000
Ru 0.000 0.000 2.168
Ru 2.168 0.000 0.000
Li 0.000 0.000 0.000
Sr 2.168 2.168 2.168
```



Question: The lowest E_tot belongs to which entry?
Answer: CsBa2AsI